# 1
Below is a relaxed AcReN3 crystal, with properties calculated at the PBE level.

Unit cell a=4.016 b=4.016 c=4.016 alpha=90.00 beta=90.00 gamma=90.00
Fractional positions:
Ac  0.000  0.000  0.000
Re  0.500  0.500  0.500
N  0.000  0.500  0.500
N  0.500  0.000  0.500
N  0.500  0.500  0.000

## Properties
total moment: 0.0 μB/cell
uncorrected formation energy: -0.71 eV/atom
density of states at the Fermi level: 0.45 states/eV/atom

---

# 2
Below is a relaxed Ac4ReN5 crystal, with properties calculated at the PBE level.

Unit cell a=6.393 b=6.393 c=6.393 alpha=101.27 beta=101.27 gamma=127.52
Fractional positions:
Ac  0.111  0.305  0.416
Ac  0.305  0.889  0.193
Ac  0.695  0.111  0.807
Ac  0.889  0.695  0.584
Re  0.579  0.579  0.000
N  0.278  0.606  0.841
N  0.437  0.278  0.673
N  0.606  0.764  0.327
N  0.764  0.437  0.159
N  0.911  0.911  0.000

## Properties
total moment: 0.0 μB/cell
uncorrected formation energy: -0.70 eV/atom
density of states at the Fermi level: 0.48 states/eV/atom

---

# 3
Below is a relaxed AcSmReN4 crystal, with properties calculated at the PBE level.

Unit cell a=7.063 b=7.063 c=5.561 alpha=90.00 beta=90.00 gamma=133.67
Fractional positions:
Ac  0.103  0.897  0.750
Ac  0.897  0.103  0.250
Sm  0.398  0.602  0.750
Sm  0.602  0.398  0.250
Re  0.249  0.751  0.250
Re  0.751  0.249  0.750
N  0.000  0.500  0.000
N  0.000  0.500  0.500
N  0.091  0.909  0.250
N  0.420  0.580  0.250
N  0.500  0.000  0.000
N  0.500  0.000  0.500
N  0.580  0.420  0.750
N  0.909  0.091  0.750

## Properties
total moment: 0.0 μB/cell
uncorrected formation energy: -0.85 eV/atom
density of states at the Fermi level: 0.39 states/eV/atom

---

# 4
Below is a relaxed AcSm2ReN5 crystal, with properties calculated at the PBE level.

Unit cell a=7.544 b=7.544 c=7.544 alpha=125.64 beta=125.64 gamma=80.48
Fractional positions:
Ac  0.250  0.250  0.000
Ac  0.750  0.750  0.000
Sm  0.176  0.676  0.853
Sm  0.324  0.176  0.500
Sm  0.676  0.824  0.500
Sm  0.824  0.324  0.147
Re  0.250  0.750  0.500
Re  0.750  0.250  0.500
N  0.000  0.000  0.000
N  0.001  0.792  0.500
N  0.208  0.708  0.209
N  0.292  0.501  0.500
N  0.499  0.999  0.791
N  0.500  0.500  0.000
N  0.501  0.001  0.209
N  0.708  0.499  0.500
N  0.792  0.292  0.791
N  0.999  0.208  0.500

## Properties
total moment: 0.0 μB/cell
uncorrected formation energy: -1.07 eV/atom
density of states at the Fermi level: 0.07 states/eV/atom

---

# 5
Below is a relaxed Ac2SmReN4 crystal, with properties calculated at the PBE level.

Unit cell a=6.619 b=6.619 c=12.814 alpha=90.00 beta=90.00 gamma=148.57
Fractional positions:
Ac  0.133  0.867  0.539
Ac  0.133  0.867  0.961
Ac  0.867  0.133  0.039
Ac  0.867  0.133  0.461
Sm  0.369  0.631  0.750
Sm  0.631  0.369  0.250
Re  0.344  0.656  0.250
Re  0.656  0.344  0.750
N  0.091  0.909  0.750
N  0.223  0.777  0.146
N  0.223  0.777  0.354
N  0.500  0.500  0.000
N  0.500  0.500  0.500
N  0.777  0.223  0.646
N  0.777  0.223  0.854
N  0.909  0.091  0.250

## Properties
total moment: 0.0 μB/cell
uncorrected formation energy: -0.67 eV/atom
density of states at the Fermi level: 0.35 states/eV/atom

---

# 6
Below is a relaxed AcSmRe2N5 crystal, with properties calculated at the PBE level.

Unit cell a=3.986 b=3.986 c=7.483 alpha=90.00 beta=90.00 gamma=90.00
Fractional positions:
Ac  0.000  0.000  0.000
Sm  0.000  0.000  0.500
Re  0.500  0.500  0.266
Re  0.500  0.500  0.734
N  0.000  0.500  0.284
N  0.000  0.500  0.716
N  0.500  0.000  0.284
N  0.500  0.000  0.716
N  0.500  0.500  0.000

## Properties
total moment: 0.0 μB/cell
uncorrected formation energy: -0.77 eV/atom
density of states at the Fermi level: 0.28 states/eV/atom